The following is a DFT calculation (GGA+U) of an optimized crystal structure of ZnCdNi2O4.

a = 5.492 Å, b = 5.311 Å, c = 5.021 Å
α = 64.15°, β = 60.48°, γ = 55.36°
Positions (direct):
Zn 0.000 0.000 0.000
Cd 0.491 0.491 0.509
Ni 0.242 0.242 0.258
Ni 0.742 0.742 0.758
O 0.101 0.642 0.358
O 0.384 0.921 0.616
O 0.642 0.101 0.899
O 0.921 0.384 0.079

Results
V: 102 Å³/cell
E: -35.3 eV per cell